VASP calculation (PBE) on a relaxed CuPb3 crystal.

Structure (CIF):
```
data_CuPb3
_cell_length_a 3.4481
_cell_length_b 3.4481
_cell_length_c 31.7293
_cell_angle_alpha 90.00
_cell_angle_beta 90.00
_cell_angle_gamma 120.00
_space_group_name_H-M_alt 'R -3 m'
_space_group_IT_number 166
_space_group_name_Hall '-R 3 2"'
loop_
_atom_site_label
_atom_site_type_symbol
_atom_site_fract_x
_atom_site_fract_y
_atom_site_fract_z
_atom_site_occupancy
Cu1 Cu 0.0000 0.0000 0.0000 1
Pb1 Pb 0.0000 0.0000 0.2668 1
Pb2 Pb 0.0000 0.0000 0.5000 1
```

Results
The electronic total energy is -43.722 eV/cell. For the spin magnetization, the calculation gives 0.0000 μB per atom.